# Th3Al9Zn2

A geometry-optimized Th3Al9Zn2 structure (PBE, Alexandria).

a b c (Å): 8.447 8.447 8.447
angles (deg): 149.99 106.85 81.04
Fractional positions:
Th 0.000 0.000 0.000
Th 0.314 0.314 0.000
Th 0.686 0.686 0.000
Al 0.031 0.663 0.368
Al 0.141 0.865 0.276
Al 0.295 0.663 0.632
Al 0.411 0.135 0.276
Al 0.500 0.000 0.500
Al 0.589 0.865 0.724
Al 0.705 0.337 0.368
Al 0.859 0.135 0.724
Al 0.969 0.337 0.632
Zn 0.285 0.500 0.785
Zn 0.715 0.500 0.215

Properties
final energy: -4.511 eV/atom